DFT (GGA-PBE) results for a relaxed structure of Mg2SbPt.

ΔE_f (raw) ... -31.8 kJ per mole of atoms
E ... -3.67 eV per atom

Lattice parameters (Å, degrees): 8.909 8.909 8.909 21.53 21.53 21.53
Sites, in units of the cell vectors:
Sb 0.750 0.750 0.750
Mg 0.512 0.512 0.512
Mg 0.988 0.988 0.988
Pt 0.250 0.250 0.250